# 1
Computed, not measured: a geometry-optimized Sr2LaTmSe4 structure at the PBE-GGA level of DFT.

Structure (extended XYZ):
```
8
Lattice="7.3997 0.0000 0.0000 0.0000 4.2591 0.0000 -2.4483 0.0000 7.1018" Properties=species:S:1:pos:R:3 pbc="T T T"
Sr 0.0000 0.0000 0.0000
Sr 3.6999 2.1296 0.0000
La -1.2242 2.1296 3.5509
Tm 2.4757 0.0000 3.5509
Se 0.1061 0.0000 5.2466
Se 1.3229 2.1296 1.9124
Se 3.6285 2.1296 5.1894
Se 4.8453 0.0000 1.8552
```

* total DFT energy (no corrections): -41.9 eV per formula unit
* E_form (uncorrected): -15.22 eV/f.u.

***

# 2
Computed, not measured: a geometry-optimized SrLaTm4Se8 structure at the PBE-GGA level of DFT.

Structure (extended XYZ):
```
14
Lattice="4.2199 2.4364 7.0975 -4.2199 2.4364 7.0975 0.0000 -4.8727 7.0975" Properties=species:S:1:pos:R:3 pbc="T T T"
Sr 0.0000 0.0000 0.0000
La 0.0000 0.0000 13.4062
Tm -2.1364 -1.2334 9.8115
Tm 0.0000 0.0000 5.4113
Tm 2.1364 -1.2334 9.8115
Tm 0.0000 2.4669 9.8115
Se 0.0000 -2.3639 11.4477
Se -2.0472 1.1820 11.4477
Se 0.0000 0.0000 8.2166
Se -1.9272 -1.1127 15.3612
Se 2.0472 1.1820 11.4477
Se 0.0000 0.0000 18.3788
Se 1.9272 -1.1127 15.3612
Se 0.0000 2.2253 15.3612
```

* total DFT energy (no corrections): -77.4 eV per formula unit
* E_form (uncorrected): -25.02 eV/f.u.

***

# 3
Computed, not measured: a geometry-optimized SrLa2TmSe4 structure at the PBE-GGA level of DFT.

Structure (extended XYZ):
```
8
Lattice="7.3647 0.0000 0.0000 0.0000 4.2281 0.0000 -2.4140 0.0000 7.0339" Properties=species:S:1:pos:R:3 pbc="T T T"
Sr 0.0000 0.0000 0.0000
La -1.2070 2.1141 3.5170
La 2.4753 0.0000 3.5170
Tm 3.6823 2.1141 0.0000
Se 1.3316 2.1141 1.6992
Se 0.1159 0.0000 5.3979
Se 4.8347 0.0000 1.6360
Se 3.6191 2.1141 5.3347
```

* total DFT energy (no corrections): -45.1 eV per formula unit
* E_form (uncorrected): -15.11 eV/f.u.

***

# 4
Computed, not measured: a geometry-optimized SrLaV2Se structure at the PBE-GGA level of DFT.

Structure (extended XYZ):
```
5
Lattice="4.7463 0.0000 0.0000 0.0000 4.7463 0.0000 0.0000 0.0000 5.7026" Properties=species:S:1:pos:R:3 pbc="T T T"
Sr 0.0000 0.0000 0.0000
La 2.3731 2.3731 0.0000
V 0.0000 2.3731 2.8513
V 2.3731 0.0000 2.8513
Se 2.3731 2.3731 2.8513
```

* total DFT energy (no corrections): -26.6 eV per formula unit
* E_form (uncorrected): 1.76 eV/f.u.

***

# 5
Computed, not measured: a geometry-optimized SrLa4Y3Se8 structure at the PBE-GGA level of DFT.

Structure (extended XYZ):
```
16
Lattice="4.2275 2.4408 6.9584 -4.2275 2.4408 6.9584 0.0000 -4.8815 6.9584" Properties=species:S:1:pos:R:3 pbc="T T T"
Sr 0.0000 0.0000 0.0000
La -4.2275 0.0000 10.4376
La -2.1138 1.2204 3.4792
La 2.1138 1.2204 3.4792
La 0.0000 0.0000 10.4376
Y -2.1138 -1.2204 6.9584
Y -2.1138 1.2204 13.9168
Y 0.0000 2.4408 6.9584
Se 0.0000 -2.3825 8.6117
Se -2.0633 1.1912 8.6117
Se 0.0000 0.0000 5.3414
Se -2.0633 -1.1912 12.2636
Se 2.0633 1.1912 8.6117
Se 0.0000 0.0000 15.5338
Se 2.0633 -1.1912 12.2636
Se 0.0000 2.3824 12.2636
```

* total DFT energy (no corrections): -99.0 eV per formula unit
* E_form (uncorrected): -30.39 eV/f.u.

***

# 6
Computed, not measured: a geometry-optimized SrLa2YSe4 structure at the PBE-GGA level of DFT.

Structure (extended XYZ):
```
8
Lattice="7.4111 0.0000 0.0000 0.0000 4.2554 0.0000 -2.4315 0.0000 7.0294" Properties=species:S:1:pos:R:3 pbc="T T T"
Sr 0.0000 0.0000 0.0000
La -1.2157 2.1277 3.5147
La 2.4898 0.0000 3.5147
Y 3.7055 2.1277 0.0000
Se 1.3124 2.1277 1.7195
Se 0.0894 0.0000 5.3577
Se 4.8902 0.0000 1.6717
Se 3.6672 2.1277 5.3099
```

* total DFT energy (no corrections): -47.3 eV per formula unit
* E_form (uncorrected): -15.36 eV/f.u.